Record 1
A plane-wave DFT calculation with PBE-GGA was carried out for a geometry-optimized LaLuCd2Hg2Au2 structure.

Total moment ... 0.00 μB per cell
Total energy ... -22.50 eV/cell

a b c (Å): 5.0689 5.0689 7.1357
angles (deg): 90.00 90.00 90.00
Closest atoms and distances in Å follow each position.
Space group P-4m2 (No. 115)
One atom of each set of equivalent atoms:
La (0.0000, 0.0000, 0.0000) (multiplicity 1)  4 Hg 3.17, 4 Au 3.18
Lu (0.5000, 0.5000, 0.5000) (multiplicity 1)  4 Au 3.02, 4 Hg 3.03
Cd (0.0000, 0.0000, 0.5000) (multiplicity 1)  4 Au 3.02, 4 Hg 3.03
Cd (0.5000, 0.5000, 0.0000) (multiplicity 1)  4 Hg 3.17, 4 Au 3.18
Hg (0.0000, 0.5000, 0.2671) (multiplicity 2)  4 Cd 3.03-3.17, 2 Lu 3.03, 2 La 3.17, 1 Au 3.31
Au (0.0000, 0.5000, 0.7311) (multiplicity 2)  4 Cd 3.02-3.18, 2 Lu 3.02, 2 La 3.18, 1 Hg 3.31

=====

Record 2
A plane-wave DFT calculation with PBE-GGA was carried out for a geometry-optimized YZn2Pd3 structure.

Total moment ... 0.01 μB per cell
Total energy ... -57.57 eV/cell

a b c (Å): 4.4100 4.4100 12.3624
angles (deg): 90.00 90.00 120.00
Closest atoms and distances in Å follow each position.
Space group P6_3/mmc (No. 194)
One atom of each set of equivalent atoms:
Y (0.0000, 0.0000, 0.2500) (multiplicity 2)  8 Pd 2.95-3.09, 6 Zn 3.29
Zn (0.3333, 0.6667, 0.0812) (multiplicity 4)  7 Pd 2.60-2.74
Pd (0.0000, 0.0000, 0.0000) (multiplicity 2)  6 Zn 2.74, 6 Pd 3.00
Pd (0.3333, 0.6667, 0.6288) (multiplicity 4)  4 Zn 2.60-2.61

=====

Record 3
A plane-wave DFT calculation with PBE-GGA was carried out for a geometry-optimized AcThCd structure.

Total moment ... 3.38 μB per cell
Total energy ... -40.26 eV/cell

a b c (Å): 7.5993 7.5993 7.5993
angles (deg): 90.00 90.00 90.00
Closest atoms and distances in Å follow each position.
Space group F-43m (No. 216)
One atom of each set of equivalent atoms:
Ac (0.0000, 0.0000, 0.0000) (multiplicity 4)  4 Cd 3.29, 4 Th 3.29
Th (0.2500, 0.2500, 0.2500) (multiplicity 4)  4 Ac 3.29
Cd (0.2500, 0.2500, 0.7500) (multiplicity 4)  4 Ac 3.29

=====

Record 4
A plane-wave DFT calculation with PBE-GGA was carried out for a geometry-optimized SrCuSbPd structure.

E above lowest polymorph ... 0 meV/atom

a b c (Å): 6.9783 6.9783 6.9783
angles (deg): 90.00 90.00 90.00
Closest atoms and distances in Å follow each position.
Space group F-43m (No. 216)
One atom of each set of equivalent atoms:
Sr (0.0000, 0.0000, 0.0000) (multiplicity 4)  4 Pd 3.02, 4 Cu 3.02
Cu (0.2500, 0.2500, 0.7500) (multiplicity 4)  4 Sb 3.02, 4 Sr 3.02
Sb (0.0000, 0.0000, 0.5000) (multiplicity 4)  4 Cu 3.02, 4 Pd 3.02
Pd (0.2500, 0.2500, 0.2500) (multiplicity 4)  4 Sb 3.02, 4 Sr 3.02

=====

Record 5
A plane-wave DFT calculation with PBE-GGA was carried out for a geometry-optimized Ta2PbN structure.

Total moment ... 0.00 μB per cell
Total energy ... -437.34 eV/cell

a b c (Å): 9.9458 5.7476 14.1481
angles (deg): 90.00 103.60 90.00
Closest atoms and distances in Å follow each position.
Space group C2/c (No. 15)
One atom of each set of equivalent atoms:
Ta (0.0572, 0.0834, 0.4228) (multiplicity 8)  3 N 2.19
Ta (0.1090, 0.4162, 0.5771) (multiplicity 8)  3 N 2.19
Ta (0.2242, 0.4172, 0.9227) (multiplicity 8)  3 N 2.19
Pb (0.0000, 0.4169, 0.2500) (multiplicity 4)  6 Ta 3.05, 6 Pb 3.32
Pb (0.1667, 0.0831, 0.7501) (multiplicity 8)  6 Ta 3.05, 6 Pb 3.32
N (0.0838, 0.2502, 0.0000) (multiplicity 8)  6 Ta 2.19
N (0.2500, 0.2500, 0.5000) (multiplicity 4)  6 Ta 2.19

=====

Record 6
A plane-wave DFT calculation with PBE-GGA was carried out for a geometry-optimized GdAl3 structure.

Total moment ... 0.01 μB per cell
Total energy ... -70.67 eV/cell

a b c (Å): 6.3532 10.9781 4.6016
angles (deg): 90.00 90.00 90.00
Closest atoms and distances in Å follow each position.
Space group Cmcm (No. 63)
One atom of each set of equivalent atoms:
Gd (0.0000, 0.1664, 0.2500) (multiplicity 4)  12 Al 3.09-3.18
Al (0.0000, 0.3544, 0.7500) (multiplicity 4)  6 Al 2.77-2.80, 2 Gd 3.09
Al (0.2182, 0.4270, 0.2500) (multiplicity 8)  6 Al 2.77-2.80, 2 Gd 3.09

=====

Record 7
A plane-wave DFT calculation with PBE-GGA was carried out for a geometry-optimized Tl2CuBi structure.

Total energy ... -45.92 eV/cell

a b c (Å): 7.5223 7.5223 7.5223
angles (deg): 90.00 90.00 90.00
Closest atoms and distances in Å follow each position.
Space group F-43m (No. 216)
One atom of each set of equivalent atoms:
Tl (0.0000, 0.0000, 0.0000) (multiplicity 4)  4 Tl 3.26, 4 Cu 3.26
Tl (0.2500, 0.2500, 0.2500) (multiplicity 4)  4 Tl 3.26, 4 Bi 3.26
Cu (0.2500, 0.2500, 0.7500) (multiplicity 4)  4 Tl 3.26, 4 Bi 3.26
Bi (0.0000, 0.0000, 0.5000) (multiplicity 4)  4 Cu 3.26, 4 Tl 3.26

=====

Record 8
A plane-wave DFT calculation with PBE-GGA was carried out for a geometry-optimized TbYNi2Ge2 structure.

Total moment ... 0.00 μB per cell
Total energy ... -36.06 eV/cell

a b c (Å): 4.2129 4.2129 7.2351
angles (deg): 90.00 90.00 120.00
Closest atoms and distances in Å follow each position.
Space group P3m1 (No. 156)
One atom of each set of equivalent atoms:
Tb (0.0000, 0.0000, 0.0000) (multiplicity 1)  6 Ni 2.99-3.08, 6 Ge 3.02-3.05
Y (0.0000, 0.0000, 0.5001) (multiplicity 1)  6 Ni 2.98-3.07, 6 Ge 3.01-3.04
Ni (0.3333, 0.6667, 0.2415) (multiplicity 1)  3 Ge 2.43
Ni (0.6667, 0.3333, 0.7389) (multiplicity 1)  3 Ge 2.43
Ge (0.3333, 0.6667, 0.7526) (multiplicity 1)  3 Ni 2.43
Ge (0.6667, 0.3333, 0.2551) (multiplicity 1)  3 Ni 2.43

=====

Calculated density, record by record: 12.08; 8.60; 8.65; 7.41; 14.78; 4.93; 10.63; 7.62 Mg/m³